Entry 1:
VASP calculation (PBE) on a relaxed structure of YAlZn5.

Unit cell a=8.6668 b=5.1548 c=10.5961 alpha=90.00 beta=90.00 gamma=90.00
Last column: nearest neighbours and their distance in Å.
Fractional coordinates of all 28 atoms:
Y1 0.2397 0.2500 0.0625  10 Zn 2.96-3.30, 1 Al 3.26
Y2 0.2603 0.7500 0.5625  10 Zn 2.96-3.30, 1 Al 3.26
Y3 0.7397 0.2500 0.4375  10 Zn 2.96-3.30, 1 Al 3.26
Y4 0.7603 0.7500 0.9375  10 Zn 2.96-3.30, 1 Al 3.26
Al1 0.1421 0.7500 0.8549  7 Zn 2.63-2.88
Al2 0.3579 0.2500 0.3549  7 Zn 2.63-2.88
Al3 0.6421 0.7500 0.6451  7 Zn 2.63-2.88
Al4 0.8579 0.2500 0.1451  7 Zn 2.63-2.88
Zn1 0.0466 0.7500 0.0901  1 Al 2.63, 4 Zn 2.66-2.78
Zn2 0.0640 0.0095 0.3068  7 Zn 2.48-2.71, 1 Al 2.77
Zn3 0.0640 0.4905 0.3068  7 Zn 2.48-2.71, 1 Al 2.77
Zn4 0.0836 0.2500 0.5205  5 Zn 2.59-2.63
Zn5 0.1984 0.2500 0.7498  7 Zn 2.53-2.78
Zn6 0.3016 0.7500 0.2498  7 Zn 2.53-2.78
Zn7 0.4164 0.7500 0.0205  5 Zn 2.59-2.63
Zn8 0.4360 0.5095 0.8068  7 Zn 2.48-2.71, 1 Al 2.77
Zn9 0.4360 0.9905 0.8068  7 Zn 2.48-2.71, 1 Al 2.77
Zn10 0.4534 0.2500 0.5901  1 Al 2.63, 4 Zn 2.66-2.78
Zn11 0.5466 0.7500 0.4099  1 Al 2.63, 4 Zn 2.66-2.78
Zn12 0.5640 0.0095 0.1932  7 Zn 2.48-2.71, 1 Al 2.77
Zn13 0.5640 0.4905 0.1932  7 Zn 2.48-2.71, 1 Al 2.77
Zn14 0.5836 0.2500 0.9795  5 Zn 2.59-2.63
Zn15 0.6984 0.2500 0.7502  7 Zn 2.53-2.78
Zn16 0.8016 0.7500 0.2502  7 Zn 2.53-2.78
Zn17 0.9164 0.7500 0.4795  5 Zn 2.59-2.63
Zn18 0.9360 0.5095 0.6932  7 Zn 2.48-2.71, 1 Al 2.77
Zn19 0.9360 0.9905 0.6932  7 Zn 2.48-2.71, 1 Al 2.77
Zn20 0.9534 0.2500 0.9099  1 Al 2.63, 4 Zn 2.66-2.78

Output
- Final energy: -18.22 eV per formula unit
- Total magnetic moment: 0.000 μB/cell
- DFT formation energy: -23 kJ per mole of atoms
- D(E_F): 0.261 states/eV per atom
- Space-group type: Pnma (62)



Entry 2:
VASP calculation (PBE) on a relaxed structure of YAlZn2.

Unit cell a=4.7706 b=4.7706 c=4.7706 alpha=121.63 beta=119.04 gamma=89.44
Last column: nearest neighbours and their distance in Å.
Fractional coordinates of all 4 atoms:
Y1 0.0000 0.0000 0.0000  4 Al 2.91-2.92, 4 Zn 2.92
Al1 0.2587 0.7587 0.5000  4 Zn 2.84-2.99, 4 Y 2.91-2.92
Zn1 0.4991 0.4991 0.0000  4 Al 2.84-2.99, 4 Zn 2.84-2.99
Zn2 0.7406 0.2406 0.5000  4 Zn 2.84-2.99, 4 Y 2.92

Output
- Final energy: -13.50 eV per formula unit
- Total magnetic moment: 0.000 μB/cell
- DFT formation energy: -18 kJ per mole of atoms
- Offset from the most stable computed form: 227.8 meV/atom
- D(E_F): 0.247 states/eV per atom
- Space-group type: Imm2 (44)



Entry 3:
VASP calculation (PBE) on a relaxed structure of Y2AlZn.

Unit cell a=3.5154 b=4.6811 c=6.0973 alpha=90.00 beta=90.00 gamma=90.00
Last column: nearest neighbours and their distance in Å.
Fractional coordinates of all 4 atoms:
Y1 0.0000 0.0000 0.0000  2 Zn 2.98-3.12, 4 Al 3.07
Y2 0.5000 0.5000 0.3568  2 Al 3.01-3.09, 4 Zn 3.08
Al1 0.5000 0.5000 0.8502  6 Y 3.01-3.09
Zn1 0.0000 0.0000 0.5116  6 Y 2.98-3.12

Output
- Final energy: -18.46 eV per formula unit
- Total magnetic moment: 0.000 μB/cell
- DFT formation energy: -12 kJ per mole of atoms
- Offset from the most stable computed form: 275.1 meV/atom
- D(E_F): 0.796 states/eV per atom
- Space-group type: Pmm2 (25)



Entry 4:
VASP calculation (PBE) on a relaxed structure of YAlZn3.

Unit cell a=5.5266 b=5.5266 c=5.5266 alpha=90.00 beta=90.00 gamma=90.00
Last column: nearest neighbours and their distance in Å.
Fractional coordinates of all 5 atoms:
Y1 0.0000 0.0000 0.0000  6 Zn 2.76
Al1 0.5000 0.5000 0.5000  12 Zn 3.91
Zn1 0.0000 0.0000 0.5000  2 Y 2.76
Zn2 0.0000 0.5000 0.0000  2 Y 2.76
Zn3 0.5000 0.0000 0.0000  2 Y 2.76

Output
- Final energy: -8.97 eV per formula unit
- Total magnetic moment: 0.000 μB/cell
- DFT formation energy: 98 kJ per mole of atoms
- Offset from the most stable computed form: 1342.5 meV/atom
- D(E_F): 1.841 states/eV per atom
- Space-group type: Pm-3m (221)



Entry 5:
VASP calculation (PBE) on a relaxed structure of Y2Al3Zn.

Unit cell a=8.9954 b=8.5697 c=5.7672 alpha=74.88 beta=66.88 gamma=38.24
Last column: nearest neighbours and their distance in Å.
Fractional coordinates of all 12 atoms:
Y1 0.2491 0.7509 0.7509  2 Zn 3.15, 10 Al 3.15-3.18
Y2 0.2500 0.2500 0.2500  8 Al 3.14-3.15, 4 Zn 3.16
Y3 0.7500 0.7500 0.7500  8 Al 3.14-3.15, 4 Zn 3.16
Y4 0.7509 0.2491 0.2491  2 Zn 3.15, 10 Al 3.15-3.18
Al1 0.1640 0.6676 0.3324  1 Zn 2.58, 2 Al 2.62
Al2 0.3319 0.3319 0.6681  1 Zn 2.57, 2 Al 2.62
Al3 0.3324 0.8360 0.1640  1 Zn 2.58, 2 Al 2.62
Al4 0.6676 0.1640 0.8360  1 Zn 2.58, 2 Al 2.62
Al5 0.6681 0.6681 0.3319  1 Zn 2.57, 2 Al 2.62
Al6 0.8360 0.3324 0.6676  1 Zn 2.58, 2 Al 2.62
Zn1 0.1665 0.1665 0.8335  3 Al 2.57-2.58
Zn2 0.8335 0.8335 0.1665  3 Al 2.57-2.58

Output
- Final energy: -28.40 eV per formula unit
- Total magnetic moment: 0.000 μB/cell
- DFT formation energy: -48 kJ per mole of atoms
- D(E_F): 0.486 states/eV per atom
- Space-group type: Fmmm (69)



Entry 6:
VASP calculation (PBE) on a relaxed structure of Y2AlZn2.

Unit cell a=6.9815 b=6.9815 c=4.4913 alpha=90.00 beta=90.00 gamma=90.00
Last column: nearest neighbours and their distance in Å.
Fractional coordinates of all 10 atoms:
Y1 0.1747 0.3253 0.0000  6 Zn 2.97-3.10
Y2 0.3253 0.8253 0.0000  6 Zn 2.97-3.10
Y3 0.6747 0.1747 0.0000  6 Zn 2.97-3.10
Y4 0.8253 0.6747 0.0000  6 Zn 2.97-3.10
Al1 0.0000 0.0000 0.5000  4 Zn 2.75
Al2 0.5000 0.5000 0.5000  4 Zn 2.75
Zn1 0.1282 0.6282 0.5000  1 Zn 2.53, 2 Al 2.75
Zn2 0.3718 0.1282 0.5000  1 Zn 2.53, 2 Al 2.75
Zn3 0.6282 0.8718 0.5000  1 Zn 2.53, 2 Al 2.75
Zn4 0.8718 0.3718 0.5000  1 Zn 2.53, 2 Al 2.75

Output
- Final energy: -21.18 eV per formula unit
- Total magnetic moment: 0.000 μB/cell
- DFT formation energy: -38 kJ per mole of atoms
- D(E_F): 1.200 states/eV per atom
- Space-group type: P4/mbm (127)



Entry 7:
VASP calculation (PBE) on a relaxed structure of YAl2Zn.

Unit cell a=3.3673 b=3.3673 c=6.9071 alpha=90.00 beta=90.00 gamma=90.00
Last column: nearest neighbours and their distance in Å.
Fractional coordinates of all 4 atoms:
Y1 0.0000 0.0000 0.0000  4 Zn 3.13, 5 Al 3.13-3.38, 4 Y 3.37
Al1 0.0000 0.0000 0.4893  4 Zn 2.74, 4 Al 2.81
Al2 0.5000 0.5000 0.7052  4 Al 2.81, 1 Zn 2.84, 4 Y 3.13
Zn1 0.5000 0.5000 0.2941  5 Al 2.74-2.84

Output
- Final energy: -16.05 eV per formula unit
- Total magnetic moment: 0.001 μB/cell
- DFT formation energy: -20 kJ per mole of atoms
- D(E_F): 0.670 states/eV per atom
- Space-group type: P4mm (99)



Entry 8:
VASP calculation (PBE) on a relaxed structure of Y2Al3Zn2.

Unit cell a=9.6856 b=9.6856 c=6.9592 alpha=90.00 beta=90.00 gamma=153.89
Last column: nearest neighbours and their distance in Å.
Fractional coordinates of all 14 atoms:
Y1 0.0471 0.9529 0.7500  9 Al 3.13-3.29
Y2 0.1585 0.8415 0.2500  6 Al 3.12-3.15, 6 Zn 3.13-3.20
Y3 0.8415 0.1585 0.7500  6 Al 3.12-3.15, 6 Zn 3.13-3.20
Y4 0.9529 0.0471 0.2500  9 Al 3.13-3.29
Al1 0.2216 0.7784 0.7500  6 Zn 2.63-2.78
Al2 0.4384 0.5616 0.5683  2 Al 2.51-2.53, 1 Zn 2.53
Al3 0.4384 0.5616 0.9317  2 Al 2.51-2.53, 1 Zn 2.53
Al4 0.5616 0.4384 0.0683  2 Al 2.51-2.53, 1 Zn 2.53
Al5 0.5616 0.4384 0.4317  2 Al 2.51-2.53, 1 Zn 2.53
Al6 0.7784 0.2216 0.2500  6 Zn 2.63-2.78
Zn1 0.3131 0.6869 0.0622  4 Al 2.53-2.78, 1 Zn 2.61
Zn2 0.3131 0.6869 0.4378  4 Al 2.53-2.78, 1 Zn 2.61
Zn3 0.6869 0.3131 0.5622  4 Al 2.53-2.78, 1 Zn 2.61
Zn4 0.6869 0.3131 0.9378  4 Al 2.53-2.78, 1 Zn 2.61

Output
- Final energy: -29.63 eV per formula unit
- Total magnetic moment: 0.000 μB/cell
- DFT formation energy: -40 kJ per mole of atoms
- D(E_F): 0.396 states/eV per atom
- Space-group type: Cmcm (63)



Entry 9:
VASP calculation (PBE) on a relaxed structure of YAlZn2.

Unit cell a=9.4049 b=9.4049 c=4.2767 alpha=90.00 beta=90.00 gamma=155.41
Last column: nearest neighbours and their distance in Å.
Fractional coordinates of all 8 atoms:
Y1 0.1067 0.8933 0.7500  4 Al 3.13, 10 Zn 3.24-3.45
Y2 0.8933 0.1067 0.2500  4 Al 3.13, 10 Zn 3.24-3.45
Al1 0.3329 0.6671 0.7500  5 Zn 2.49-2.59
Al2 0.6671 0.3329 0.2500  5 Zn 2.49-2.59
Zn1 0.2538 0.7462 0.2500  4 Al 2.56-2.59
Zn2 0.4682 0.5318 0.7500  2 Zn 2.44, 1 Al 2.49
Zn3 0.5318 0.4682 0.2500  2 Zn 2.44, 1 Al 2.49
Zn4 0.7462 0.2538 0.7500  4 Al 2.56-2.59

Output
- Final energy: -14.17 eV per formula unit
- Total magnetic moment: 0.000 μB/cell
- DFT formation energy: -34 kJ per mole of atoms
- Offset from the most stable computed form: 60.2 meV/atom
- D(E_F): 0.589 states/eV per atom
- Space-group type: Cmcm (63)



Entry 10:
VASP calculation (PBE) on a relaxed structure of YAlZn3.

Unit cell a=4.7380 b=4.7380 c=4.7380 alpha=90.00 beta=90.00 gamma=90.00
Last column: nearest neighbours and their distance in Å.
Fractional coordinates of all 5 atoms:
Y1 0.0000 0.0000 0.0000  12 Zn 3.35
Al1 0.5000 0.5000 0.5000  6 Zn 2.37
Zn1 0.0000 0.5000 0.5000  2 Al 2.37
Zn2 0.5000 0.0000 0.5000  2 Al 2.37
Zn3 0.5000 0.5000 0.0000  2 Al 2.37

Output
- Final energy: -13.27 eV per formula unit
- Total magnetic moment: 0.000 μB/cell
- DFT formation energy: 15 kJ per mole of atoms
- Offset from the most stable computed form: 483.6 meV/atom
- D(E_F): 0.828 states/eV per atom
- Space-group type: Pm-3m (221)



Entry 11:
VASP calculation (PBE) on a relaxed structure of YAlZn4.

Unit cell a=5.3381 b=5.3381 c=5.3381 alpha=60.00 beta=60.00 gamma=60.00
Last column: nearest neighbours and their distance in Å.
Fractional coordinates of all 6 atoms:
Y1 0.0000 0.0000 0.0000  12 Zn 3.13, 4 Al 3.27
Al1 0.2500 0.2500 0.2500  12 Zn 3.13, 4 Y 3.27
Zn1 0.1238 0.6254 0.6254  6 Zn 2.66-2.68
Zn2 0.6254 0.1238 0.6254  6 Zn 2.66-2.68
Zn3 0.6254 0.6254 0.1238  6 Zn 2.66-2.68
Zn4 0.6254 0.6254 0.6254  6 Zn 2.66-2.68

Output
- Final energy: -16.13 eV per formula unit
- Total magnetic moment: 0.000 μB/cell
- DFT formation energy: -13 kJ per mole of atoms
- Offset from the most stable computed form: 0.0 meV/atom
- D(E_F): 0.348 states/eV per atom
- Space-group type: F-43m (216)



Entry 12:
VASP calculation (PBE) on a relaxed structure of YAl2Zn.

Unit cell a=5.2715 b=5.2715 c=5.2715 alpha=132.05 beta=132.03 gamma=70.17
Last column: nearest neighbours and their distance in Å.
Fractional coordinates of all 4 atoms:
Y1 0.0000 0.0000 0.0000  8 Al 3.03-3.04, 4 Zn 3.04
Al1 0.2499 0.7499 0.5000  4 Al 3.03-3.05, 4 Zn 3.03, 4 Y 3.04
Al2 0.4982 0.4982 0.0000  4 Al 3.03-3.05, 4 Zn 3.03-3.05, 4 Y 3.03
Zn1 0.7500 0.2500 0.5000  8 Al 3.03-3.05, 4 Y 3.04

Output
- Final energy: -16.15 eV per formula unit
- Total magnetic moment: 0.000 μB/cell
- DFT formation energy: -22 kJ per mole of atoms
- D(E_F): 0.629 states/eV per atom
- Space-group type: Imm2 (44)